The following is a DFT calculation (PBE) of a relaxed MgCo2CuC crystal.

The formation energy comes out at 12 meV per atom. The value obtained for the energy is -5.813 eV/atom. The value obtained for the total magnetic moment is 0.0 μB/f.u. The density is 6.46 Mg/m³.

It has space group P4/mmm (No. 123), with a = 3.7539 Å, b = 3.7539 Å, c = 3.9699 Å, α = 90.00°, β = 90.00° and γ = 90.00°. The inequivalent atoms are Mg at (0.0000, 0.0000, 0.0000), Co at (0.0000, 0.5000, 0.5000), Cu at (0.5000, 0.5000, 0.0000) and C at (0.5000, 0.5000, 0.5000).